Density functional theory data (GGA-PBE) for a relaxed structure of Ba6Se2S3Br.

Values from the calculation:
formation energy from raw total energies: -2008 meV per atom
M_tot: 0.00 μB/f.u.

Cell: 10.373 10.373 9.305 Å, 103.37 103.37 25.76°
Fractional positions:
Ba (0.003, 0.003, 0.231)
Ba (0.326, 0.326, 0.419)
Ba (0.334, 0.334, 0.913)
Ba (0.666, 0.666, 0.087)
Ba (0.674, 0.674, 0.581)
Ba (0.997, 0.997, 0.769)
Se (0.164, 0.164, 0.829)
Se (0.836, 0.836, 0.171)
S (0.165, 0.165, 0.334)
S (0.500, 0.500, 0.000)
S (0.835, 0.835, 0.666)
Br (0.500, 0.500, 0.500)



Density functional theory data (GGA-PBE) for a relaxed structure of Ba8SiS3Br4.

Values from the calculation:
formation energy from raw total energies: -1694 meV per atom
M_tot: 0.00 μB/f.u.

Cell: 9.315 9.315 9.503 Å, 119.35 119.35 60.00°
Fractional positions:
Ba (0.239, 0.239, 0.719)
Ba (0.240, 0.742, 0.721)
Ba (0.258, 0.760, 0.279)
Ba (0.262, 0.262, 0.284)
Ba (0.738, 0.738, 0.716)
Ba (0.742, 0.240, 0.721)
Ba (0.760, 0.258, 0.279)
Ba (0.761, 0.761, 0.281)
Si (0.000, 0.000, 0.500)
S (0.000, 0.500, 0.500)
S (0.500, 0.000, 0.500)
S (0.500, 0.500, 0.500)
Br (0.000, 0.000, 0.000)
Br (0.000, 0.500, 0.000)
Br (0.500, 0.000, 0.000)
Br (0.500, 0.500, 0.000)



Density functional theory data (GGA-PBE) for a relaxed structure of Ba2SrS2Br2.

Values from the calculation:
formation energy from raw total energies: -2003 meV per atom
M_tot: 0.00 μB/f.u.

Cell: 9.132 9.132 9.132 Å, 144.48 144.48 51.12°
Fractional positions:
Ba (0.115, 0.115, 0.000)
Ba (0.885, 0.885, 0.000)
Sr (0.500, 0.500, 0.000)
S (0.000, 0.500, 0.500)
S (0.500, 0.000, 0.500)
Br (0.310, 0.310, 0.000)
Br (0.690, 0.690, 0.000)



Density functional theory data (GGA-PBE) for a relaxed structure of Ba2TcSBr.

Values from the calculation:
formation energy from raw total energies: 149 meV per atom
M_tot: 3.42 μB/f.u.

Cell: 6.029 6.029 5.659 Å, 90.00 90.00 90.00°
Fractional positions:
Ba (0.000, 0.500, 0.000)
Ba (0.500, 0.000, 0.000)
Tc (0.000, 0.000, 0.500)
S (0.500, 0.500, 0.000)
Br (0.500, 0.500, 0.500)



Density functional theory data (GGA-PBE) for a relaxed structure of Ba6Te2S3Br.

Values from the calculation:
formation energy from raw total energies: -1906 meV per atom
M_tot: 0.00 μB/f.u.

Cell: 10.635 10.635 9.534 Å, 104.22 104.22 25.59°
Fractional positions:
Ba (0.006, 0.006, 0.232)
Ba (0.326, 0.326, 0.430)
Ba (0.337, 0.337, 0.905)
Ba (0.663, 0.663, 0.095)
Ba (0.674, 0.674, 0.570)
Ba (0.994, 0.994, 0.768)
Te (0.164, 0.164, 0.827)
Te (0.836, 0.836, 0.173)
S (0.165, 0.165, 0.335)
S (0.500, 0.500, 0.000)
S (0.835, 0.835, 0.665)
Br (0.500, 0.500, 0.500)



Density functional theory data (GGA-PBE) for a relaxed structure of Ba6Te3SBr2.

Values from the calculation:
formation energy from raw total energies: -1779 meV per atom
M_tot: 0.00 μB/f.u.

Cell: 8.432 8.432 8.257 Å, 99.80 99.80 119.87°
Fractional positions:
Ba (0.080, 0.396, 0.742)
Ba (0.233, 0.233, 0.254)
Ba (0.396, 0.080, 0.742)
Ba (0.604, 0.920, 0.258)
Ba (0.767, 0.767, 0.746)
Ba (0.920, 0.604, 0.258)
Te (0.173, 0.827, 0.000)
Te (0.500, 0.500, 0.000)
Te (0.827, 0.173, 0.000)
S (0.000, 0.000, 0.500)
Br (0.335, 0.665, 0.500)
Br (0.665, 0.335, 0.500)



Density functional theory data (GGA-PBE) for a relaxed structure of Ba6TeS2Br3.

Values from the calculation:
formation energy from raw total energies: -1796 meV per atom
M_tot: 0.00 μB/f.u.

Cell: 8.128 8.128 8.260 Å, 99.47 99.47 119.92°
Fractional positions:
Ba (0.072, 0.424, 0.773)
Ba (0.222, 0.222, 0.225)
Ba (0.424, 0.072, 0.773)
Ba (0.576, 0.928, 0.227)
Ba (0.778, 0.778, 0.775)
Ba (0.928, 0.576, 0.227)
Te (0.500, 0.500, 0.000)
S (0.167, 0.833, 0.000)
S (0.833, 0.167, 0.000)
Br (0.000, 0.000, 0.500)
Br (0.340, 0.660, 0.500)
Br (0.660, 0.340, 0.500)



Density functional theory data (GGA-PBE) for a relaxed structure of Ba4TeS2Br.

Values from the calculation:
formation energy from raw total energies: -1900 meV per atom
M_tot: 0.00 μB/f.u.

Cell: 9.416 9.416 9.416 Å, 120.17 119.68 90.13°
Fractional positions:
Ba (0.260, 0.243, 0.484)
Ba (0.260, 0.776, 0.016)
Ba (0.262, 0.242, 0.021)
Ba (0.279, 0.758, 0.521)
Ba (0.721, 0.242, 0.479)
Ba (0.738, 0.758, 0.979)
Ba (0.740, 0.224, 0.984)
Ba (0.740, 0.757, 0.516)
Te (0.000, 0.500, 0.500)
Te (0.500, 0.500, 0.000)
S (0.000, 0.000, 0.000)
S (0.500, 0.000, 0.000)
S (0.500, 0.000, 0.500)
S (0.500, 0.500, 0.500)
Br (0.000, 0.000, 0.500)
Br (0.000, 0.500, 0.000)



Density functional theory data (GGA-PBE) for a relaxed structure of Ba2TlS2Br2.

Values from the calculation:
formation energy from raw total energies: -1511 meV per atom
M_tot: 0.00 μB/f.u.

Cell: 9.270 9.270 9.270 Å, 146.46 146.46 48.17°
Fractional positions:
Ba (0.118, 0.118, 0.000)
Ba (0.882, 0.882, 0.000)
Tl (0.500, 0.500, 0.000)
S (0.000, 0.500, 0.500)
S (0.500, 0.000, 0.500)
Br (0.309, 0.309, 0.000)
Br (0.691, 0.691, 0.000)



Density functional theory data (GGA-PBE) for a relaxed structure of BaV2SBr.

Values from the calculation:
formation energy from raw total energies: 531 meV per atom
M_tot: 0.00 μB/f.u.

Cell: 4.525 4.525 6.876 Å, 90.00 90.00 90.00°
Fractional positions:
Ba (0.000, 0.000, 0.000)
V (0.000, 0.500, 0.500)
V (0.500, 0.000, 0.500)
S (0.500, 0.500, 0.000)
Br (0.500, 0.500, 0.500)



Density functional theory data (GGA-PBE) for a relaxed structure of BaWS2Br.

Values from the calculation:
formation energy from raw total energies: 1167 meV per atom
M_tot: 3.00 μB/f.u.

Cell: 5.973 5.973 6.028 Å, 90.00 90.00 90.00°
Fractional positions:
Ba (0.000, 0.000, 0.000)
W (0.500, 0.500, 0.500)
S (0.000, 0.500, 0.000)
S (0.500, 0.000, 0.000)
Br (0.000, 0.000, 0.500)



Density functional theory data (GGA-PBE) for a relaxed structure of Ba12Sb3Br5.

Values from the calculation:
formation energy from raw total energies: -1015 meV per atom
M_tot: 4.37 μB/f.u.

Cell: 17.158 17.158 17.158 Å, 109.47 109.47 109.47°
Fractional positions:
Ba (0.049, 0.225, 0.131)
Ba (0.049, 0.324, 0.918)
Ba (0.082, 0.631, 0.406)
Ba (0.082, 0.951, 0.676)
Ba (0.094, 0.725, 0.676)
Ba (0.094, 0.869, 0.418)
Ba (0.131, 0.049, 0.225)
Ba (0.131, 0.582, 0.906)
Ba (0.176, 0.225, 0.594)
Ba (0.176, 0.451, 0.582)
Ba (0.225, 0.131, 0.049)
Ba (0.225, 0.594, 0.176)
Ba (0.275, 0.324, 0.906)
Ba (0.275, 0.451, 0.369)
Ba (0.324, 0.906, 0.275)
Ba (0.324, 0.918, 0.049)
Ba (0.369, 0.275, 0.451)
Ba (0.369, 0.594, 0.918)
Ba (0.406, 0.082, 0.631)
Ba (0.406, 0.824, 0.775)
Ba (0.418, 0.094, 0.869)
Ba (0.418, 0.824, 0.549)
Ba (0.451, 0.369, 0.275)
Ba (0.451, 0.582, 0.176)
Ba (0.549, 0.418, 0.824)
Ba (0.549, 0.631, 0.725)
Ba (0.582, 0.176, 0.451)
Ba (0.582, 0.906, 0.131)
Ba (0.594, 0.176, 0.225)
Ba (0.594, 0.918, 0.369)
Ba (0.631, 0.406, 0.082)
Ba (0.631, 0.725, 0.549)
Ba (0.676, 0.082, 0.951)
Ba (0.676, 0.094, 0.725)
Ba (0.725, 0.549, 0.631)
Ba (0.725, 0.676, 0.094)
Ba (0.775, 0.406, 0.824)
Ba (0.775, 0.869, 0.951)
Ba (0.824, 0.549, 0.418)
Ba (0.824, 0.775, 0.406)
Ba (0.869, 0.418, 0.094)
Ba (0.869, 0.951, 0.775)
Ba (0.906, 0.131, 0.582)
Ba (0.906, 0.275, 0.324)
Ba (0.918, 0.049, 0.324)
Ba (0.918, 0.369, 0.594)
Ba (0.951, 0.676, 0.082)
Ba (0.951, 0.775, 0.869)
Sb (0.125, 0.250, 0.375)
Sb (0.125, 0.375, 0.750)
Sb (0.250, 0.375, 0.125)
Sb (0.250, 0.875, 0.625)
Sb (0.375, 0.125, 0.250)
Sb (0.375, 0.750, 0.125)
Sb (0.625, 0.250, 0.875)
Sb (0.625, 0.875, 0.750)
Sb (0.750, 0.125, 0.375)
Sb (0.750, 0.625, 0.875)
Sb (0.875, 0.625, 0.250)
Sb (0.875, 0.750, 0.625)
Br (0.000, 0.000, 0.000)
Br (0.000, 0.000, 0.500)
Br (0.000, 0.500, 0.000)
Br (0.000, 0.500, 0.500)
Br (0.125, 0.750, 0.875)
Br (0.125, 0.875, 0.250)
Br (0.250, 0.125, 0.875)
Br (0.250, 0.625, 0.375)
Br (0.375, 0.250, 0.625)
Br (0.375, 0.625, 0.750)
Br (0.500, 0.000, 0.000)
Br (0.500, 0.000, 0.500)
Br (0.500, 0.500, 0.000)
Br (0.500, 0.500, 0.500)
Br (0.625, 0.375, 0.250)
Br (0.625, 0.750, 0.375)
Br (0.750, 0.375, 0.625)
Br (0.750, 0.875, 0.125)
Br (0.875, 0.125, 0.750)
Br (0.875, 0.250, 0.125)



Which of these has the highest formation energy from raw total energies?
BaWS2Br



Number 5 is which compound?
Ba6Te2S3Br



What is the formation energy from raw total energies in the eleventh record?
1167 meV per atom